## La2IrRu (PBE)

Data for a relaxed structure of La2IrRu.

Symmetry: I-4m2, No. 119
Formation enthalpy at 0 K in eV per atom: -0.149
Raw total energy in eV per atom: -7.147
ρ in Mg/m³: 10.519

Unit cell a=6.015 b=6.015 c=6.015 alpha=139.72 beta=139.72 gamma=58.28
Fractional coordinates of all 4 atoms:
La: 0.000 0.000 0.000
La: 0.750 0.250 0.500
Ir: 0.500 0.500 0.000
Ru: 0.250 0.750 0.500



## CeMgP2Pd2 (PBE)

Data for a relaxed structure of CeMgP2Pd2.

Symmetry: P-3m1, No. 164
Formation enthalpy at 0 K in eV per atom: -0.969
Raw total energy in eV per atom: -5.758
ρ in Mg/m³: 6.914

Unit cell a=4.165 b=4.165 c=7.023 alpha=90.00 beta=90.00 gamma=120.00
Fractional coordinates of all 6 atoms:
Ce: 0.000 0.000 0.000
Mg: 0.000 0.000 0.500
P: 0.333 0.667 0.760
P: 0.667 0.333 0.240
Pd: 0.333 0.667 0.314
Pd: 0.667 0.333 0.686